Entry one
Density functional theory data (GGA-PBE) for a geometry-optimized VTcAu structure.

Calculated values
Fermi-level density of states (states/eV/f.u.): 2.8
Calculated volume (Å³/atom): 16.4

Unit cell a=10.6982 b=10.6982 c=10.6982 alpha=163.51 beta=163.51 gamma=23.41
Positions (direct):
V 0.1475 0.1475 0.0000
V 0.8525 0.8525 0.0000
Tc 0.2926 0.2926 0.0000
Tc 0.7074 0.7074 0.0000
Au 0.4362 0.4362 0.0000
Au 0.5638 0.5638 0.0000

***

Entry two
Density functional theory data (GGA-PBE) for a geometry-optimized VTcAu structure.

Calculated values
Fermi-level density of states (states/eV/f.u.): 2.3
Calculated volume (Å³/atom): 15.2

Unit cell a=4.4622 b=4.4622 c=2.6522 alpha=90.00 beta=90.00 gamma=120.00
Positions (direct):
V 0.0000 0.0000 0.0000
Tc 0.6667 0.3333 0.2596
Au 0.3333 0.6667 0.7130

***

Which is most stable, and by how much? entry one, by 116 meV per atom.

***

Entry one
Density functional theory data (GGA-PBE) for a geometry-optimized Tc2WAu structure.

Calculated values
Fermi-level density of states (states/eV/f.u.): 3.3
Calculated volume (Å³/atom): 15.7

Unit cell a=2.7719 b=2.7719 c=8.1992 alpha=90.00 beta=90.00 gamma=90.00
Positions (direct):
Tc 0.0000 0.0000 0.0000
Tc 0.5000 0.5000 0.2176
W 0.0000 0.0000 0.4630
Au 0.5000 0.5000 0.7295

***

Entry two
Density functional theory data (GGA-PBE) for a geometry-optimized Tc2WAu structure.

Calculated values
Fermi-level density of states (states/eV/f.u.): 1.4
Calculated volume (Å³/atom): 15.8

Unit cell a=9.4812 b=9.4812 c=9.4812 alpha=16.96 beta=16.96 gamma=16.96
Positions (direct):
Tc 0.0000 0.0000 0.0000
Tc 0.2584 0.2584 0.2584
W 0.7506 0.7506 0.7506
Au 0.5042 0.5042 0.5042

***

Entry three
Density functional theory data (GGA-PBE) for a geometry-optimized Tc2WAu structure.

Calculated values
Fermi-level density of states (states/eV/f.u.): 4.2
Calculated volume (Å³/atom): 15.8

Unit cell a=4.8242 b=4.8242 c=4.8620 alpha=100.85 beta=100.85 gamma=34.64
Positions (direct):
Tc 0.2430 0.2430 0.2320
Tc 0.7570 0.7570 0.7680
W 0.5000 0.5000 0.0000
Au 0.0000 0.0000 0.5000

***

Which is most stable, and by how much? entry one, by 6 meV per atom.

***

Entry one
Density functional theory data (GGA-PBE) for a geometry-optimized Tc3WAu structure.

Calculated values
Fermi-level density of states (states/eV/f.u.): 5.2
Calculated volume (Å³/atom): 20.7

Unit cell a=4.6980 b=4.6980 c=4.6980 alpha=90.00 beta=90.00 gamma=90.00
Positions (direct):
Tc 0.0000 0.0000 0.5000
Tc 0.0000 0.5000 0.0000
Tc 0.5000 0.0000 0.0000
W 0.0000 0.0000 0.0000
Au 0.5000 0.5000 0.5000

***

Entry two
Density functional theory data (GGA-PBE) for a geometry-optimized Tc3WAu structure.

Calculated values
Fermi-level density of states (states/eV/f.u.): 11.2
Calculated volume (Å³/atom): 20.8

Unit cell a=4.6997 b=4.6997 c=4.6997 alpha=90.00 beta=90.00 gamma=90.00
Positions (direct):
Tc 0.0000 0.0000 0.5000
Tc 0.0000 0.5000 0.0000
Tc 0.5000 0.0000 0.0000
W 0.5000 0.5000 0.5000
Au 0.0000 0.0000 0.0000

***

Which is most stable, and by how much? entry one, by 1023 meV per atom.

***

Entry one
Density functional theory data (GGA-PBE) for a geometry-optimized YTc2Au structure.

Calculated values
Fermi-level density of states (states/eV/f.u.): 4.7
Calculated volume (Å³/atom): 17.9

Unit cell a=5.1171 b=5.1171 c=2.9566 alpha=90.00 beta=90.00 gamma=112.15
Positions (direct):
Y 0.0000 0.0000 0.0000
Tc 0.0000 0.5000 0.5000
Tc 0.5000 0.0000 0.5000
Au 0.5000 0.5000 0.0000

***

Entry two
Density functional theory data (GGA-PBE) for a geometry-optimized YTc2Au structure.

Calculated values
Fermi-level density of states (states/eV/f.u.): 2.4
Calculated volume (Å³/atom): 18.5

Unit cell a=3.1299 b=3.1299 c=7.5608 alpha=90.00 beta=90.00 gamma=90.00
Positions (direct):
Y 0.0000 0.0000 0.0000
Tc 0.0000 0.0000 0.5427
Tc 0.5000 0.5000 0.7166
Au 0.5000 0.5000 0.2871

***

Which is most stable, and by how much? entry two, by 462 meV per atom.

***

Entry one
Density functional theory data (GGA-PBE) for a geometry-optimized YTcAu structure.

Calculated values
Fermi-level density of states (states/eV/f.u.): 3.3
Calculated volume (Å³/atom): 20.1

Unit cell a=5.4566 b=5.4566 c=5.4566 alpha=142.27 beta=142.27 gamma=54.42
Positions (direct):
Y 0.0000 0.0000 0.0000
Tc 0.6849 0.6849 0.0000
Au 0.3105 0.3105 0.0000

***

Entry two
Density functional theory data (GGA-PBE) for a geometry-optimized YTcAu structure.

Calculated values
Fermi-level density of states (states/eV/f.u.): 2.6
Calculated volume (Å³/atom): 20.8

Unit cell a=3.2805 b=3.2805 c=6.7012 alpha=90.00 beta=90.00 gamma=120.00
Positions (direct):
Y 0.0000 0.0000 0.0000
Tc 0.3333 0.6667 0.6727
Au 0.6667 0.3333 0.3557

***

Entry three
Density functional theory data (GGA-PBE) for a geometry-optimized YTcAu structure.

Calculated values
Fermi-level density of states (states/eV/f.u.): 5.7
Calculated volume (Å³/atom): 24.0

Unit cell a=4.6675 b=4.6675 c=4.6675 alpha=60.00 beta=60.00 gamma=60.00
Positions (direct):
Y 0.0000 0.0000 0.0000
Tc 0.2500 0.2500 0.2500
Au 0.7500 0.7500 0.7500

***

Entry four
Density functional theory data (GGA-PBE) for a geometry-optimized YTcAu structure.

Calculated values
Fermi-level density of states (states/eV/f.u.): 2.4
Calculated volume (Å³/atom): 21.0

Unit cell a=4.5270 b=4.5270 c=3.5414 alpha=90.00 beta=90.00 gamma=120.00
Positions (direct):
Y 0.0000 0.0000 0.0000
Tc 0.6667 0.3333 0.5000
Au 0.3333 0.6667 0.5000

***

Which is most stable, and by how much? entry four, by 67 meV per atom.